Zn3In, optimized geometry, DFT PBE-GGA; E_form = 0.56 eV per formula unit
1.0
-1.5557 4.8776 2.4337
1.5557 -4.8776 2.4337
1.5557 4.8776 -2.4337
Zn In
3 1
Cartesian
0.0000 0.0000 0.0000
1.5557 2.3389 0.7688
0.0000 2.5387 3.2025
0.0000 4.8776 0.0398

***

CeEuAs, optimized geometry, DFT PBE-GGA; offset from the most stable computed form = 0.0 meV per atom; E_form = -2.23 eV per formula unit
1.0
4.2104 0.0000 0.0000
-2.1052 3.6463 0.0000
0.0000 0.0000 6.5726
Ce Eu As
1 1 1
Cartesian
0.0000 0.0000 0.0000
0.0000 2.4309 3.4036
2.1052 1.2154 1.6001

***

HfIn2CoPd, optimized geometry, DFT PBE-GGA; E_form = 3.30 eV per formula unit
1.0
4.9381 0.0000 0.0000
0.0000 4.9381 0.0000
0.0000 0.0000 4.6880
Hf In Co Pd
1 2 1 1
Cartesian
0.0000 0.0000 0.0000
0.0000 2.4690 2.3440
2.4690 0.0000 2.3440
2.4690 2.4690 0.0000
2.4690 2.4690 2.3440

***

Ce2PrNd3Te6, optimized geometry, DFT PBE-GGA; energy relative to the elements, uncorrected = -1.414 eV per atom
1.0
9.8205 -2.2399 0.0000
9.8205 2.2399 0.0000
-2.1262 0.0000 8.8054
Ce Pr Nd Te
2 1 3 6
Cartesian
2.5698 0.0000 2.9448
14.9450 0.0000 5.8606
9.8205 0.0000 0.0000
1.4589 0.0000 7.3336
8.7574 0.0000 4.4027
16.0559 0.0000 1.4718
-0.5108 0.0000 2.2218
4.5744 0.0000 8.0568
5.6637 0.0000 3.6653
11.8511 0.0000 5.1401
12.9405 0.0000 0.7486
18.0256 0.0000 6.5835

***

CrNiMo, optimized geometry, DFT PBE-GGA; offset from the most stable computed form = 311.4 meV per atom; E_form = 1.22 eV per formula unit
1.0
2.5060 0.0000 0.0000
0.0000 4.3442 0.0000
0.0000 0.0000 7.3906
Cr Ni Mo
2 2 2
Cartesian
0.6265 1.0860 1.7118
1.8795 3.2581 5.6787
0.6265 3.2581 0.4038
1.8795 1.0860 6.9867
0.6265 3.2581 3.0528
1.8795 1.0860 4.3377

***

Na23In6, optimized geometry, DFT PBE-GGA; E_form = 0.39 eV per formula unit
1.0
0.0000 8.0350 8.0350
8.0350 0.0000 8.0350
8.0350 8.0350 0.0000
Na In
23 6
Cartesian
0.0000 0.0000 0.0000
2.7769 2.7769 0.0000
5.2581 5.2581 0.0000
2.7769 0.0000 2.7769
8.0350 5.2581 2.7769
5.2581 0.0000 5.2581
8.0350 2.7769 5.2581
9.9062 6.1638 6.1638
4.0175 4.0175 4.0175
0.0000 2.7769 2.7769
5.2581 8.0350 2.7769
5.2581 2.7769 8.0350
6.1638 6.1638 6.1638
9.9062 9.9062 6.1638
9.9062 6.1638 9.9062
6.1638 9.9062 6.1638
6.1638 6.1638 9.9062
9.9062 9.9062 9.9062
0.0000 5.2581 5.2581
2.7769 8.0350 5.2581
2.7769 5.2581 8.0350
12.0525 12.0525 12.0525
6.1638 9.9062 9.9062
8.0350 8.0350 4.2619
8.0350 4.2619 8.0350
11.8081 8.0350 8.0350
4.2619 8.0350 8.0350
8.0350 11.8081 8.0350
8.0350 8.0350 11.8081

***

AlTc2HRu, optimized geometry, DFT PBE-GGA; total energy = -0.5449 Ry/atom
1.0
3.8429 0.0000 0.0000
0.0000 3.8429 0.0000
0.0000 0.0000 4.0714
Al Tc H Ru
1 2 1 1
Cartesian
0.0000 0.0000 0.0000
0.0000 1.9215 2.0357
1.9215 0.0000 2.0357
1.9215 1.9215 2.0357
1.9215 1.9215 0.0000

***

AlI2O, optimized geometry, DFT PBE-GGA; energy relative to the elements, uncorrected = 0.247 eV per atom; offset from the most stable computed form = 0.0 meV per atom
1.0
-3.5312 3.5312 4.1835
3.5312 -3.5312 4.1835
3.5312 3.5312 -4.1835
Al I O
2 4 2
Cartesian
0.0000 0.0000 0.0000
0.0000 3.5312 2.0917
1.7656 1.7207 -1.0459
1.8105 -1.7656 5.2294
1.7656 1.8105 3.1376
1.7207 5.2968 1.0459
3.5312 0.0000 2.0917
0.0000 0.0000 4.1835

***

ReMoW2, optimized geometry, DFT PBE-GGA; offset from the most stable computed form = 2240.7 meV per atom; E_form = 8.99 eV per formula unit
1.0
-2.8934 2.8934 5.7259
2.8934 -2.8934 5.7259
2.8934 2.8934 -5.7259
Re Mo W
2 2 4
Cartesian
0.0000 0.0000 0.0000
0.0000 2.8934 2.8629
2.8934 0.0000 2.8629
0.0000 0.0000 5.7259
4.3401 1.4139 -1.4315
1.4139 1.4467 1.4315
-1.4467 1.4795 4.2944
1.4795 1.4467 7.1573

***

Co2PtBr, optimized geometry, DFT PBE-GGA; energy relative to the elements, uncorrected = 0.351 eV per atom; offset from the most stable computed form = 51.0 meV per atom
1.0
4.2644 -1.4354 0.0000
4.2644 1.4354 0.0000
-4.1906 0.0000 6.1810
Co Pt Br
2 1 1
Cartesian
0.2934 0.0000 2.1499
4.0447 0.0000 4.0311
-2.0953 0.0000 3.0905
4.2644 0.0000 0.0000

***

BeNi14Ge, optimized geometry, DFT PBE-GGA; E_form = -1.48 eV per formula unit
1.0
4.9936 0.0000 0.0000
0.0000 4.9936 0.0000
0.0000 0.0000 6.9456
Be Ni Ge
1 14 1
Cartesian
0.0000 0.0000 0.0000
0.0000 0.0000 3.4728
0.0000 2.4968 0.0000
0.0000 2.4968 3.4728
1.2299 1.2299 1.7236
1.2299 1.2299 5.2220
1.2299 3.7637 1.7236
1.2299 3.7637 5.2220
2.4968 0.0000 0.0000
2.4968 0.0000 3.4728
2.4968 2.4968 3.4728
3.7637 1.2299 1.7236
3.7637 1.2299 5.2220
3.7637 3.7637 1.7236
3.7637 3.7637 5.2220
2.4968 2.4968 0.0000

***

SrDyI, optimized geometry, DFT PBE-GGA; energy relative to the elements, uncorrected = -0.487 eV per atom
1.0
3.9583 0.0000 0.0000
-1.9791 3.4280 0.0000
0.0000 0.0000 16.1114
Sr Dy I
2 2 2
Cartesian
0.0000 0.0000 0.0000
0.0000 2.2853 8.0557
0.0000 2.2853 3.1359
0.0000 2.2853 12.9754
0.0000 0.0000 5.4283
0.0000 0.0000 10.6831

***

Mn2RuBr2, optimized geometry, DFT PBE-GGA; energy relative to the elements, uncorrected = 1.229 eV per atom
1.0
-1.9803 1.9803 5.2908
1.9803 -1.9803 5.2908
1.9803 1.9803 -5.2908
Mn Ru Br
2 1 2
Cartesian
1.9803 0.0000 2.6454
0.0000 1.9803 2.6454
0.0000 0.0000 0.0000
0.0000 0.0000 3.8640
0.0000 0.0000 6.7177

***

La12Sm5Pu, optimized geometry, DFT PBE-GGA; E_form = 0.70 eV per formula unit
1.0
9.5799 -5.5001 0.0000
9.5799 5.5001 0.0000
-2.1331 0.0000 6.0297
La Sm Pu
12 5 1
Cartesian
5.3779 3.6883 3.0224
9.5799 3.6933 0.0000
4.2482 1.8481 6.0100
8.5134 1.9280 3.0148
11.6489 3.6883 3.0073
12.7786 1.8481 0.0197
4.2482 -1.8481 6.0100
5.3779 -3.6883 3.0224
8.5134 -1.9280 3.0148
12.7786 -1.8481 0.0197
9.5799 -3.6933 0.0000
11.6489 -3.6883 3.0073
1.0378 0.0000 5.9868
5.3249 0.0000 2.9981
9.5799 0.0000 0.0000
11.7019 0.0000 3.0316
15.9890 0.0000 0.0429
-1.0665 0.0000 3.0148

***

LiZrSCl2, optimized geometry, DFT PBE-GGA; energy relative to the elements, uncorrected = -0.727 eV per atom; offset from the most stable computed form = 522.4 meV per atom
1.0
4.2952 0.0000 0.0000
0.0000 4.2952 0.0000
0.0000 0.0000 5.0089
Li Zr S Cl
1 1 1 2
Cartesian
0.0000 0.0000 0.0000
2.1476 2.1476 2.5044
0.0000 0.0000 2.5044
0.0000 2.1476 0.0000
2.1476 0.0000 0.0000

***

CoPW2, optimized geometry, DFT PBE-GGA; E_form = 0.89 eV per formula unit
1.0
-1.8357 1.8357 4.0500
1.8357 -1.8357 4.0500
1.8357 1.8357 -4.0500
Co P W
1 1 2
Cartesian
0.0000 0.0000 0.0000
1.8357 0.0000 2.0250
0.0000 0.0000 4.0500
0.0000 1.8357 2.0250

***

Cs2MoI2Cl4, optimized geometry, DFT PBE-GGA; energy relative to the elements, uncorrected = -1.226 eV per atom
1.0
-3.9977 3.9977 5.2953
3.9977 -3.9977 5.2953
3.9977 3.9977 -5.2953
Cs Mo I Cl
2 1 2 4
Cartesian
3.9977 0.0000 2.6476
0.0000 3.9977 2.6476
0.0000 0.0000 0.0000
0.0000 0.0000 2.7952
0.0000 0.0000 7.7954
1.6980 1.6980 0.0000
2.2997 -2.2997 5.2953
-2.2997 2.2997 5.2953
2.2997 2.2997 5.2953

***

Zr7In2Bi2, optimized geometry, DFT PBE-GGA; E_form = 0.78 eV per formula unit
1.0
5.5978 -4.4583 0.0000
5.5978 4.4583 0.0000
-1.6123 0.0000 5.4910
Zr In Bi
7 2 2
Cartesian
0.0000 0.0000 0.0000
2.1149 1.5195 1.4938
2.1149 -1.5195 1.4938
4.3570 0.0000 4.0477
5.2264 0.0000 1.4433
7.4685 1.5195 3.9972
7.4685 -1.5195 3.9972
4.7917 2.7556 2.7455
4.7917 -2.7556 2.7455
1.4342 0.0000 4.5117
8.1492 0.0000 0.9793

***

PrMgAl2Cu2, optimized geometry, DFT PBE-GGA; E_form = -1.85 eV per formula unit
1.0
4.3101 0.0000 0.0000
-2.1551 3.7327 0.0000
0.0000 0.0000 7.1480
Pr Mg Al Cu
1 1 2 2
Cartesian
0.0000 0.0000 0.0000
0.0000 0.0000 3.5740
0.0000 2.4885 5.0202
2.1551 1.2442 2.1278
0.0000 2.4885 2.2198
2.1551 1.2442 4.9282

***

YIr2I, optimized geometry, DFT PBE-GGA; energy relative to the elements, uncorrected = 0.316 eV per atom; offset from the most stable computed form = 0.0 meV per atom
1.0
-2.0913 2.0913 9.8460
2.0913 -2.0913 9.8460
2.0913 2.0913 -9.8460
Y Ir I
2 4 2
Cartesian
0.0000 0.0000 0.0000
0.0000 2.0913 4.9230
1.0457 -0.8662 7.3845
1.2251 1.0457 2.4615
1.0457 2.9575 -2.4615
0.8662 1.0457 12.3075
2.0913 0.0000 4.9230
0.0000 0.0000 9.8460

***

Nd3Sm3Dy, optimized geometry, DFT PBE-GGA; offset from the most stable computed form = 3.0 meV per atom; E_form = 1.60 eV per formula unit
1.0
5.0532 2.9175 2.7687
-5.0532 2.9175 2.7687
0.0000 -5.8349 2.7687
Nd Sm Dy
3 3 1
Cartesian
-2.0454 -1.1809 2.7687
2.0454 -1.1809 2.7687
0.0000 2.3618 2.7687
0.0000 -3.7471 1.9749
-3.2451 1.8736 1.9749
3.2451 1.8736 1.9749
0.0000 0.0000 5.0787

***

ZrMo2Os, optimized geometry, DFT PBE-GGA; offset from the most stable computed form = 133.3 meV per atom; E_form = 0.03 eV per formula unit
1.0
2.7345 -4.5403 0.0000
2.7345 4.5403 0.0000
-0.9623 0.0000 2.6817
Zr Mo Os
1 2 1
Cartesian
0.0000 0.0000 0.0000
0.8861 2.2701 1.3409
0.8861 -2.2701 1.3409
2.7345 0.0000 0.0000

***

SrP5, optimized geometry, DFT PBE-GGA; E_form = -0.55 eV per formula unit
1.0
4.5895 0.0000 0.0000
0.0000 1.8607 7.1441
0.0000 -1.8607 7.1441
Sr P
1 5
Cartesian
0.0000 0.0000 0.0000
0.0000 0.0000 4.6218
0.0000 0.0000 10.3910
2.2947 0.0000 1.9318
2.2947 0.0000 5.3796
2.2947 0.0000 10.4802

***

CsCe2AuSe4, optimized geometry, DFT PBE-GGA; energy relative to the elements, uncorrected = -1.408 eV per atom
1.0
2.1837 -7.4944 0.0000
2.1837 7.4944 0.0000
0.0000 0.0000 15.0002
Cs Ce Au Se
2 4 2 8
Cartesian
2.1837 5.7443 11.2502
2.1837 -5.7443 3.7501
2.1837 1.9551 8.4585
2.1837 1.9551 14.0419
2.1837 -1.9551 0.9583
2.1837 -1.9551 6.5418
2.1837 5.1260 3.7501
2.1837 -5.1260 11.2502
0.0000 0.0000 0.0000
0.0000 0.0000 7.5001
2.1837 3.6233 1.5380
2.1837 3.6233 5.9621
2.1837 0.9405 11.2502
2.1837 -0.9405 3.7501
2.1837 -3.6233 9.0381
2.1837 -3.6233 13.4623